--- A ---
A relaxed structure of Tb8Sm4Dy3, computed with PBE.

Output
Crystal system   trigonal
Spin magnetization   0.00 Bohr magnetons per cell
SG   R-3m, No. 166
Calculated volume   496.41 Å³ per cell

Lattice parameters (Å, degrees): 12.488 12.488 12.488 32.37 32.37 32.37
Positions (direct):
1 Tb 0.245 0.245 0.245
2 Tb 0.247 0.750 0.750
3 Tb 0.250 0.250 0.753
4 Tb 0.250 0.753 0.250
5 Tb 0.750 0.247 0.750
6 Tb 0.750 0.750 0.247
7 Tb 0.753 0.250 0.250
8 Tb 0.755 0.755 0.755
9 Sm 0.000 0.000 0.000
10 Sm 0.336 0.336 0.336
11 Sm 0.500 0.500 0.500
12 Sm 0.664 0.664 0.664
13 Dy 0.000 0.000 0.500
14 Dy 0.000 0.500 0.000
15 Dy 0.500 0.000 0.000

***

--- B ---
A relaxed structure of Tb8Sm4Dy3, computed with PBE.

Output
Crystal system   monoclinic
Spin magnetization   0.00 Bohr magnetons per cell
SG   C2/m, No. 12
Calculated volume   503.58 Å³ per cell

Lattice parameters (Å, degrees): 9.276 9.276 6.778 111.35 111.35 87.22
Positions (direct):
1 Tb 0.141 0.859 0.000
2 Tb 0.230 0.230 0.461
3 Tb 0.234 0.234 0.988
4 Tb 0.245 0.755 0.500
5 Tb 0.755 0.245 0.500
6 Tb 0.766 0.766 0.012
7 Tb 0.770 0.770 0.539
8 Tb 0.859 0.141 0.000
9 Sm 0.000 0.500 0.500
10 Sm 0.500 0.000 0.500
11 Sm 0.500 0.500 0.000
12 Sm 0.500 0.500 0.500
13 Dy 0.000 0.000 0.500
14 Dy 0.000 0.500 0.000
15 Dy 0.500 0.000 0.000

***

Which structure wins on stability? A wins.